[1]
A geometry-optimized PrSmTm2Te6 structure, computed with PBE-GGA.

Properties
Its total DFT energy (no corrections) is -152.45 eV for the cell shown.

Cell lengths 7.7898, 7.7898, 21.0482 Å; angles 90.00, 90.00, 120.00 degrees
Space group R3 (No. 146, hexagonal axes)
Inequivalent atoms, fractional coordinates:
Pr 0.0000 0.0000 0.0000 x3
Sm 0.0000 0.0000 0.4975 x3
Tm 0.0000 0.0000 0.3083 x3
Tm 0.0000 0.0000 0.8098 x3
Te 0.0122 0.3635 0.5653 x9
Te 0.0128 0.6404 0.0657 x9


[2]
A geometry-optimized BeOsRu2 structure, computed with PBE-GGA.

Properties
Its total DFT energy (no corrections) is -33.28 eV for the cell shown. The formation energy from the elements comes out at 1.309 kcal/mol of atoms.

Cell lengths 2.7066, 3.8670, 5.1323 Å; angles 90.00, 105.10, 90.00 degrees
Space group Pm (No. 6)
Inequivalent atoms, fractional coordinates:
Be 0.0000 0.0000 0.0000 x1
Os 0.1565 0.5000 0.2827 x1
Ru 0.4235 0.5000 0.8253 x1
Ru 0.7757 0.0000 0.5238 x1


[3]
A geometry-optimized Sc2NbCo structure, computed with PBE-GGA.

Properties
Its total DFT energy (no corrections) is -85.82 eV for the cell shown. As for the energy relative to the lowest polymorph listed for this composition: 0.397 eV/atom. The formation energy from the elements comes out at 7.100 kcal/mol of atoms.

Cell lengths 2.9963, 2.9963, 29.0652 Å; angles 90.00, 90.00, 120.00 degrees
Space group R-3m (No. 166, hexagonal axes)
Inequivalent atoms, fractional coordinates:
Sc 0.0000 0.0000 0.1010 x6
Nb 0.0000 0.0000 0.0000 x3
Co 0.0000 0.0000 0.5000 x3


[4]
A geometry-optimized DyHo5Sb4 structure, computed with PBE-GGA.

Properties
Its total DFT energy (no corrections) is -102.16 eV for the cell shown.

Cell lengths 18.5606, 4.2881, 8.3733 Å; angles 90.00, 105.90, 90.00 degrees
Space group C2/m (No. 12)
Inequivalent atoms, fractional coordinates:
Dy 0.0000 0.0000 0.0000 x2
Ho 0.0000 0.0000 0.5000 x2
Ho 0.1625 0.5000 0.8207 x4
Ho 0.1789 0.5000 0.3505 x4
Sb 0.0088 0.5000 0.2592 x4
Sb 0.1699 0.0000 0.0862 x4


[5]
A geometry-optimized Te2RhI structure, computed with PBE-GGA.

Properties
Its total DFT energy (no corrections) is -59.98 eV for the cell shown.

Cell lengths 5.8697, 5.8697, 12.7619 Å; angles 90.00, 90.00, 90.00 degrees
Space group I4_1/amd (No. 141, origin choice 2)
Inequivalent atoms, fractional coordinates:
Te 0.0000 0.2500 0.0805 x8
Rh 0.0000 0.2500 0.8750 x4
I 0.0000 0.2500 0.3750 x4


[6]
A geometry-optimized U6AsSe3S2 structure, computed with PBE-GGA.

Properties
Its total DFT energy (no corrections) is -208.05 eV for the cell shown.

Cell lengths 6.7059, 11.6159, 7.3099 Å; angles 90.00, 107.84, 90.00 degrees
Space group C2/m (No. 12)
Inequivalent atoms, fractional coordinates:
U 0.2351 0.0000 0.2365 x4
U 0.2485 0.1716 0.7608 x8
As 0.0000 0.5000 0.0000 x2
Se 0.0000 0.0000 0.5000 x2
Se 0.0000 0.3385 0.5000 x4
S 0.0000 0.1675 0.0000 x4